CeHo3Er5 | PBE | relaxed

POSCAR file:
```
CeHo3Er5
1.0
9.443 -3.890 0.000
9.443 3.890 0.000
-4.460 0.000 8.116
Ce Ho Er
2 6 10
direct
0.152 0.152 0.467 Ce
0.848 0.848 0.533 Ce
0.000 0.000 0.000 Ho
0.000 0.000 0.500 Ho
0.154 0.154 0.844 Ho
0.326 0.326 0.496 Ho
0.674 0.674 0.504 Ho
0.846 0.846 0.156 Ho
0.103 0.534 0.822 Er
0.329 0.671 0.500 Er
0.330 0.330 0.159 Er
0.466 0.897 0.178 Er
0.496 0.496 0.832 Er
0.504 0.504 0.168 Er
0.534 0.103 0.822 Er
0.670 0.670 0.841 Er
0.671 0.329 0.500 Er
0.897 0.466 0.178 Er
```

Formation enthalpy at 0 K ... 0.422 eV/atom
Volume ... 298 Å³/f.u.
Symmetry ... C2/m, No. 12
ρ ... 8195 kg/m³
Total magnetization ... 1.91 Bohr magnetons per cell

CeHo7Er3 | PBE | relaxed

POSCAR file:
```
CeHo7Er3
1.0
6.981 0.000 0.000
-3.491 6.046 0.000
0.000 0.000 8.527
Ce Ho Er
1 7 3
direct
0.000 0.000 0.000 Ce
0.001 0.501 0.000 Ho
0.329 0.164 0.670 Ho
0.333 0.667 0.667 Ho
0.499 0.501 0.000 Ho
0.499 0.999 0.000 Ho
0.836 0.164 0.670 Ho
0.836 0.671 0.670 Ho
0.165 0.331 0.333 Er
0.165 0.835 0.333 Er
0.669 0.835 0.333 Er
```

Formation enthalpy at 0 K ... 0.208 eV/atom
Volume ... 360 Å³/f.u.
Symmetry ... P3m1, No. 156
ρ ... 8288 kg/m³
Total magnetization ... 0.95 Bohr magnetons per cell

CeHoEr5 | PBE | relaxed

POSCAR file:
```
CeHoEr5
1.0
4.359 -4.753 0.000
4.359 4.753 0.000
-4.077 0.000 10.612
Ce Ho Er
2 2 10
direct
0.000 0.500 0.000 Ce
0.500 0.000 0.500 Ce
0.242 0.758 0.750 Ho
0.758 0.242 0.250 Ho
0.052 0.196 0.665 Er
0.196 0.052 0.165 Er
0.230 0.430 0.465 Er
0.411 0.589 0.250 Er
0.430 0.230 0.965 Er
0.570 0.770 0.035 Er
0.589 0.411 0.750 Er
0.770 0.570 0.535 Er
0.804 0.948 0.835 Er
0.948 0.804 0.335 Er
```

Formation enthalpy at 0 K ... 0.133 eV/atom
Volume ... 220 Å³/f.u.
Symmetry ... C2/c, No. 15
ρ ... 8619 kg/m³
Total magnetization ... 2.38 Bohr magnetons per cell

CeHo8Er2 | PBE | relaxed

POSCAR file:
```
CeHo8Er2
1.0
9.496 -3.429 0.000
9.496 3.429 0.000
-0.269 0.000 5.500
Ce Ho Er
1 8 2
direct
0.000 0.000 0.000 Ce
0.133 0.601 0.266 Ho
0.188 0.188 0.234 Ho
0.399 0.867 0.734 Ho
0.453 0.453 0.762 Ho
0.547 0.547 0.238 Ho
0.601 0.133 0.266 Ho
0.812 0.812 0.766 Ho
0.867 0.399 0.734 Ho
0.284 0.284 0.751 Er
0.716 0.716 0.249 Er
```

Formation enthalpy at 0 K ... 0.173 eV/atom
Volume ... 358 Å³/f.u.
Symmetry ... C2/m, No. 12
ρ ... 8317 kg/m³
Total magnetization ... 1.04 Bohr magnetons per cell

CeHo3Er4 | PBE | relaxed

POSCAR file:
```
CeHo3Er4
1.0
11.204 0.000 0.000
0.000 7.174 0.000
0.000 0.000 6.203
Ce Ho Er
2 6 8
direct
0.000 0.124 0.000 Ce
0.500 0.876 0.500 Ce
0.000 0.876 0.502 Ho
0.250 0.125 0.332 Ho
0.250 0.875 0.832 Ho
0.500 0.124 0.002 Ho
0.750 0.125 0.332 Ho
0.750 0.875 0.832 Ho
0.000 0.374 0.501 Er
0.000 0.625 0.999 Er
0.250 0.374 0.837 Er
0.250 0.626 0.337 Er
0.500 0.375 0.499 Er
0.500 0.626 0.001 Er
0.750 0.374 0.837 Er
0.750 0.626 0.337 Er
```

Formation enthalpy at 0 K ... 0.033 eV/atom
Volume ... 249 Å³/f.u.
Symmetry ... Pmn2_1, No. 31
ρ ... 8686 kg/m³
Total magnetization ... 2.48 Bohr magnetons per cell

CeHo6Er3 | PBE | relaxed

POSCAR file:
```
CeHo6Er3
1.0
7.042 -3.213 0.000
7.042 3.213 0.000
-4.931 0.000 7.309
Ce Ho Er
1 6 3
direct
0.000 0.000 0.000 Ce
0.010 0.495 0.825 Ho
0.208 0.208 0.451 Ho
0.495 0.010 0.825 Ho
0.505 0.990 0.175 Ho
0.792 0.792 0.549 Ho
0.990 0.505 0.175 Ho
0.000 0.000 0.500 Er
0.493 0.493 0.772 Er
0.507 0.507 0.228 Er
```

Formation enthalpy at 0 K ... 0.359 eV/atom
Volume ... 331 Å³/f.u.
Symmetry ... C2/m, No. 12
ρ ... 8191 kg/m³
Total magnetization ... 1.80 Bohr magnetons per cell

CeHo6Er8 | PBE | relaxed

POSCAR file:
```
CeHo6Er8
1.0
9.335 0.000 0.000
-4.667 8.084 0.000
0.000 0.000 6.454
Ce Ho Er
1 6 8
direct
0.000 0.000 0.000 Ce
0.094 0.413 0.090 Ho
0.319 0.906 0.090 Ho
0.413 0.319 0.910 Ho
0.587 0.681 0.090 Ho
0.681 0.094 0.910 Ho
0.906 0.587 0.910 Ho
0.025 0.687 0.405 Er
0.313 0.338 0.405 Er
0.333 0.667 0.671 Er
0.338 0.025 0.595 Er
0.662 0.975 0.405 Er
0.667 0.333 0.329 Er
0.687 0.662 0.595 Er
0.975 0.313 0.595 Er
```

Formation enthalpy at 0 K ... 0.254 eV/atom
Volume ... 487 Å³/f.u.
Symmetry ... P-3, No. 147
ρ ... 8413 kg/m³
Total magnetization ... 1.22 Bohr magnetons per cell

CeHo9Er2 | PBE | relaxed

POSCAR file:
```
CeHo9Er2
1.0
4.980 0.000 0.000
0.000 4.980 0.000
0.000 0.000 14.945
Ce Ho Er
1 9 2
direct
0.000 0.000 0.000 Ce
0.000 0.500 0.166 Ho
0.000 0.500 0.500 Ho
0.000 0.500 0.834 Ho
0.500 0.000 0.166 Ho
0.500 0.000 0.500 Ho
0.500 0.000 0.834 Ho
0.500 0.500 0.000 Ho
0.500 0.500 0.335 Ho
0.500 0.500 0.665 Ho
0.000 0.000 0.333 Er
0.000 0.000 0.667 Er
```

Formation enthalpy at 0 K ... 0.037 eV/atom
Volume ... 371 Å³/f.u.
Symmetry ... P4/mmm, No. 123
ρ ... 8778 kg/m³
Total magnetization ... 0.94 Bohr magnetons per cell

CeHo5Er5 | PBE | relaxed

POSCAR file:
```
CeHo5Er5
1.0
9.276 -2.934 0.000
9.276 2.934 0.000
-2.484 0.000 6.409
Ce Ho Er
1 5 5
direct
0.000 0.000 0.000 Ce
0.176 0.176 0.934 Ho
0.177 0.177 0.420 Ho
0.500 0.500 0.000 Ho
0.823 0.823 0.580 Ho
0.824 0.824 0.066 Ho
0.000 0.000 0.500 Er
0.327 0.327 0.825 Er
0.375 0.375 0.372 Er
0.625 0.625 0.628 Er
0.673 0.673 0.175 Er
```

Formation enthalpy at 0 K ... 0.292 eV/atom
Volume ... 349 Å³/f.u.
Symmetry ... C2/m, No. 12
ρ ... 8575 kg/m³
Total magnetization ... 1.81 Bohr magnetons per cell

CeHo12Er6 | PBE | relaxed

POSCAR file:
```
CeHo12Er6
1.0
6.567 3.791 4.099
-6.567 3.791 4.099
0.000 -7.582 4.099
Ce Ho Er
1 12 6
direct
0.000 0.000 0.000 Ce
0.079 0.351 0.351 Ho
0.243 0.500 0.757 Ho
0.243 0.757 0.500 Ho
0.351 0.079 0.351 Ho
0.351 0.351 0.079 Ho
0.500 0.243 0.757 Ho
0.500 0.757 0.243 Ho
0.649 0.649 0.921 Ho
0.649 0.921 0.649 Ho
0.757 0.243 0.500 Ho
0.757 0.500 0.243 Ho
0.921 0.649 0.649 Ho
0.104 0.104 0.663 Er
0.104 0.663 0.104 Er
0.337 0.896 0.896 Er
0.663 0.104 0.104 Er
0.896 0.337 0.896 Er
0.896 0.896 0.337 Er
```

Formation enthalpy at 0 K ... 0.215 eV/atom
Volume ... 612 Å³/f.u.
Symmetry ... R-3m, No. 166
ρ ... 8471 kg/m³
Total magnetization ... 1.79 Bohr magnetons per cell

CeHo2Er12 | PBE | relaxed

POSCAR file:
```
CeHo2Er12
1.0
3.518 -5.552 0.000
3.518 5.552 0.000
-1.362 0.000 23.903
Ce Ho Er
2 4 24
direct
0.197 0.197 0.000 Ce
0.803 0.803 0.000 Ce
0.080 0.080 0.281 Ho
0.419 0.419 0.716 Ho
0.581 0.581 0.284 Ho
0.920 0.920 0.719 Ho
0.026 0.026 0.136 Er
0.039 0.541 0.194 Er
0.093 0.593 0.330 Er
0.137 0.137 0.578 Er
0.137 0.633 0.555 Er
0.242 0.730 0.933 Er
0.270 0.758 0.067 Er
0.360 0.360 0.423 Er
0.367 0.863 0.445 Er
0.407 0.907 0.670 Er
0.459 0.961 0.806 Er
0.474 0.474 0.860 Er
0.526 0.526 0.140 Er
0.541 0.039 0.194 Er
0.593 0.093 0.330 Er
0.633 0.137 0.555 Er
0.640 0.640 0.577 Er
0.730 0.242 0.933 Er
0.758 0.270 0.067 Er
0.863 0.367 0.445 Er
0.863 0.863 0.422 Er
0.907 0.407 0.670 Er
0.961 0.459 0.806 Er
0.974 0.974 0.864 Er
```

Formation enthalpy at 0 K ... 0.122 eV/atom
Volume ... 467 Å³/f.u.
Symmetry ... C2/m, No. 12
ρ ... 8810 kg/m³
Total magnetization ... 0.85 Bohr magnetons per cell

CeHo2Er6 | PBE | relaxed

POSCAR file:
```
CeHo2Er6
1.0
6.366 -6.889 0.000
6.366 6.889 0.000
-1.351 0.000 6.365
Ce Ho Er
2 4 12
direct
0.121 0.879 0.750 Ce
0.879 0.121 0.250 Ce
0.335 0.387 0.633 Ho
0.387 0.335 0.133 Ho
0.613 0.665 0.867 Ho
0.665 0.613 0.367 Ho
0.051 0.218 0.819 Er
0.057 0.459 0.266 Er
0.218 0.051 0.319 Er
0.280 0.657 0.001 Er
0.343 0.720 0.499 Er
0.459 0.057 0.766 Er
0.541 0.943 0.234 Er
0.657 0.280 0.501 Er
0.720 0.343 0.999 Er
0.782 0.949 0.681 Er
0.943 0.541 0.734 Er
0.949 0.782 0.181 Er
```

Formation enthalpy at 0 K ... 0.129 eV/atom
Volume ... 279 Å³/f.u.
Symmetry ... C2/c, No. 15
ρ ... 8765 kg/m³
Total magnetization ... 1.97 Bohr magnetons per cell

CeHo5Er4 | PBE | relaxed

POSCAR file:
```
CeHo5Er4
1.0
10.754 -1.816 0.000
10.754 1.816 0.000
-0.987 0.000 8.037
Ce Ho Er
1 5 4
direct
0.000 0.000 0.000 Ce
0.000 0.000 0.500 Ho
0.217 0.217 0.642 Ho
0.404 0.404 0.242 Ho
0.596 0.596 0.758 Ho
0.783 0.783 0.358 Ho
0.187 0.187 0.053 Er
0.387 0.387 0.668 Er
0.613 0.613 0.332 Er
0.813 0.813 0.947 Er
```

Formation enthalpy at 0 K ... 0.093 eV/atom
Volume ... 314 Å³/f.u.
Symmetry ... C2/m, No. 12
ρ ... 8644 kg/m³
Total magnetization ... 1.43 Bohr magnetons per cell

CeHo3Er8 | PBE | relaxed

POSCAR file:
```
CeHo3Er8
1.0
-3.792 3.792 7.612
3.792 -3.792 7.612
3.792 3.792 -7.612
Ce Ho Er
1 3 8
direct
0.000 0.000 0.000 Ce
0.250 0.750 0.500 Ho
0.500 0.500 0.000 Ho
0.750 0.250 0.500 Ho
0.124 0.124 0.496 Er
0.124 0.628 0.000 Er
0.372 0.372 0.496 Er
0.372 0.876 0.000 Er
0.628 0.124 0.000 Er
0.628 0.628 0.504 Er
0.876 0.372 0.000 Er
0.876 0.876 0.504 Er
```

Formation enthalpy at 0 K ... 0.768 eV/atom
Volume ... 438 Å³/f.u.
Symmetry ... I4/mmm, No. 139
ρ ... 7482 kg/m³
Total magnetization ... 1.74 Bohr magnetons per cell

Ce2Ho5Er12 | PBE | relaxed

POSCAR file:
```
Ce2Ho5Er12
1.0
7.653 -4.566 0.000
7.653 4.566 0.000
-0.363 0.000 8.506
Ce Ho Er
2 5 12
direct
0.149 0.851 0.000 Ce
0.851 0.149 0.000 Ce
0.214 0.214 0.037 Ho
0.269 0.269 0.435 Ho
0.500 0.500 0.500 Ho
0.731 0.731 0.565 Ho
0.786 0.786 0.963 Ho
0.059 0.677 0.317 Er
0.060 0.060 0.342 Er
0.175 0.534 0.762 Er
0.323 0.941 0.683 Er
0.432 0.432 0.129 Er
0.466 0.825 0.238 Er
0.534 0.175 0.762 Er
0.568 0.568 0.871 Er
0.677 0.059 0.317 Er
0.825 0.466 0.238 Er
0.940 0.940 0.658 Er
0.941 0.323 0.683 Er
```

Formation enthalpy at 0 K ... 0.143 eV/atom
Volume ... 594 Å³/f.u.
Symmetry ... C2/m, No. 12
ρ ... 8693 kg/m³
Total magnetization ... 0.99 Bohr magnetons per cell

CeHo6Er12 | PBE | relaxed

POSCAR file:
```
CeHo6Er12
1.0
5.455 3.149 5.674
-5.455 3.149 5.674
0.000 -6.298 5.674
Ce Ho Er
1 6 12
direct
0.000 0.000 0.000 Ce
0.161 0.781 0.781 Ho
0.219 0.219 0.839 Ho
0.219 0.839 0.219 Ho
0.781 0.161 0.781 Ho
0.781 0.781 0.161 Ho
0.839 0.219 0.219 Ho
0.136 0.136 0.479 Er
0.136 0.479 0.136 Er
0.197 0.522 0.522 Er
0.478 0.478 0.803 Er
0.478 0.803 0.478 Er
0.479 0.136 0.136 Er
0.521 0.864 0.864 Er
0.522 0.197 0.522 Er
0.522 0.522 0.197 Er
0.803 0.478 0.478 Er
0.864 0.521 0.864 Er
0.864 0.864 0.521 Er
```

Formation enthalpy at 0 K ... 0.106 eV/atom
Volume ... 585 Å³/f.u.
Symmetry ... R-3m, No. 166
ρ ... 8907 kg/m³
Total magnetization ... 0.00 Bohr magnetons per cell

Ce2Ho8Er3 | PBE | relaxed

POSCAR file:
```
Ce2Ho8Er3
1.0
7.308 -4.541 0.000
7.308 4.541 0.000
-2.132 0.000 6.397
Ce Ho Er
2 8 3
direct
0.216 0.216 0.413 Ce
0.784 0.784 0.587 Ce
0.190 0.190 0.887 Ho
0.198 0.565 0.823 Ho
0.418 0.418 0.273 Ho
0.435 0.802 0.177 Ho
0.565 0.198 0.823 Ho
0.582 0.582 0.727 Ho
0.802 0.435 0.177 Ho
0.810 0.810 0.113 Ho
0.000 0.000 0.000 Er
0.173 0.827 0.500 Er
0.827 0.173 0.500 Er
```

Formation enthalpy at 0 K ... 0.274 eV/atom
Volume ... 425 Å³/f.u.
Symmetry ... C2/m, No. 12
ρ ... 8219 kg/m³
Total magnetization ... 2.22 Bohr magnetons per cell

CeHo8Er2 | PBE | relaxed

POSCAR file:
```
CeHo8Er2
1.0
8.987 -2.489 0.000
8.987 2.489 0.000
-2.070 0.000 7.597
Ce Ho Er
1 8 2
direct
0.000 0.000 0.000 Ce
0.091 0.091 0.455 Ho
0.181 0.181 0.908 Ho
0.364 0.364 0.819 Ho
0.455 0.455 0.270 Ho
0.545 0.545 0.730 Ho
0.636 0.636 0.181 Ho
0.819 0.819 0.092 Ho
0.909 0.909 0.545 Ho
0.272 0.272 0.363 Er
0.728 0.728 0.637 Er
```

Formation enthalpy at 0 K ... 0.039 eV/atom
Volume ... 340 Å³/f.u.
Symmetry ... C2/m, No. 12
ρ ... 8763 kg/m³
Total magnetization ... 1.09 Bohr magnetons per cell